The following is a PBE calculation of a relaxed structure of RbAsO3, from Alexandria via LeMat-Bulk.

Output
**SG**: No. 4
**Total DFT energy (no corrections)**: -56.1 eV/cell
**Formation energy from raw total energies**: -1507.0 meV per atom
**Size of the total moment**: 0.00 μB per formula unit

Unit cell a=6.863 b=6.195 c=4.863 alpha=89.99 beta=90.01 gamma=75.73
Fractional positions:
O: 0.256 0.272 0.451
O: 0.550 0.518 0.376
O: 0.366 0.517 0.876
O: 0.143 0.765 0.452
O: 0.773 0.270 0.952
O: 0.658 0.764 0.951
As: 0.612 0.516 0.012
As: 0.303 0.520 0.512
Rb: 0.189 0.053 0.961
Rb: 0.727 0.983 0.462